Below is CsFeIO2 after structural relaxation, with properties calculated at the PBE with a Hubbard U level.

## Properties
Space-group type ... P4/mmm, No. 123
Calculated total energy ... -19.21 eV/cell
Crystal system ... tetragonal

Unit cell a=4.515 b=4.515 c=5.597 alpha=90.00 beta=90.00 gamma=90.00
Positions (direct):
Cs  0.000  0.000  0.000
Fe  0.500  0.500  0.500
I  0.500  0.500  0.000
O  0.000  0.500  0.500
O  0.500  0.000  0.500